First-principles (PBEsol) data for crystalline Zr3TaI at its relaxed geometry, as listed in the Alexandria database.

a b c (Å): 5.0832 5.0832 5.0832
angles (deg): 90.00 90.00 90.00
With the nearest neighbours (Å) after each atom.
Space group Pm-3m (No. 221)
Asymmetric unit:
Zr: 0.0000 0.0000 0.5000 (multiplicity 3)  2 I 2.54
Ta: 0.5000 0.5000 0.5000 (multiplicity 1)  12 Zr 3.59
I: 0.0000 0.0000 0.0000 (multiplicity 1)  6 Zr 2.54

## Properties
Volume: 131.3 Å³/f.u.
Density of states at the Fermi level: 5.4 states/eV/cell
Spin magnetization: 0.000 μB/atom
ΔE_f (raw): 1.2379 eV/atom

***

First-principles (PBEsol) data for crystalline Zr2TaI at its relaxed geometry, as listed in the Alexandria database.

a b c (Å): 6.9327 6.9327 6.9327
angles (deg): 90.00 90.00 90.00
With the nearest neighbours (Å) after each atom.
Space group Fm-3m (No. 225)
Asymmetric unit:
Zr: 0.2500 0.2500 0.2500 (multiplicity 8)  4 I 3.00, 4 Ta 3.00
Ta: 0.0000 0.0000 0.0000 (multiplicity 4)  8 Zr 3.00
I: 0.0000 0.0000 0.5000 (multiplicity 4)  8 Zr 3.00

## Properties
Volume: 83.3 Å³/f.u.
Density of states at the Fermi level: 13.0 states/eV/cell
Spin magnetization: 0.000 μB/atom
ΔE_f (raw): 0.3553 eV/atom

***

First-principles (PBEsol) data for crystalline TcI4 at its relaxed geometry, as listed in the Alexandria database.

a b c (Å): 15.7298 6.7533 12.9720
angles (deg): 90.00 90.06 90.00
With the nearest neighbours (Å) after each atom.
Space group P2_1/c (No. 14)
Asymmetric unit:
Tc: 0.1794 0.0911 0.1316 (multiplicity 4)  6 I 2.61-2.78
Tc: 0.3204 0.5912 0.1319 (multiplicity 4)  6 I 2.61-2.78
I: 0.0651 0.5583 0.7546 (multiplicity 4)  1 Tc 2.61
I: 0.0671 0.2416 0.0050 (multiplicity 4)  1 Tc 2.62
I: 0.1911 0.7400 0.5147 (multiplicity 4)  2 Tc 2.71-2.78
I: 0.1924 0.0797 0.7483 (multiplicity 4)  2 Tc 2.70-2.77
I: 0.3074 0.5797 0.7485 (multiplicity 4)  2 Tc 2.70-2.77
I: 0.3088 0.2400 0.5150 (multiplicity 4)  2 Tc 2.71-2.78
I: 0.4328 0.7416 0.0056 (multiplicity 4)  1 Tc 2.62
I: 0.4347 0.0582 0.7553 (multiplicity 4)  1 Tc 2.61

## Properties
Volume: 172.2 Å³/f.u.
Density of states at the Fermi level: 14.2 states/eV/cell
Spin magnetization: 0.582 μB/atom
ΔE_f (raw): -0.0310 eV/atom

***

First-principles (PBEsol) data for crystalline TlTcI3 at its relaxed geometry, as listed in the Alexandria database.

a b c (Å): 5.4876 5.4876 5.4876
angles (deg): 90.00 90.00 90.00
With the nearest neighbours (Å) after each atom.
Space group Pm-3m (No. 221)
Asymmetric unit:
Tl: 0.0000 0.0000 0.0000 (multiplicity 1)  12 I 3.88
Tc: 0.5000 0.5000 0.5000 (multiplicity 1)  6 I 2.74
I: 0.0000 0.5000 0.5000 (multiplicity 3)  2 Tc 2.74

## Properties
Volume: 165.3 Å³/f.u.
Density of states at the Fermi level: 3.2 states/eV/cell
Spin magnetization: 0.577 μB/atom
ΔE_f (raw): 0.1154 eV/atom